# 1
A plane-wave DFT calculation with GGA-PBEsol was carried out for LiTl after structural relaxation.

Unit cell a=5.0255 b=5.0255 c=5.0255 alpha=38.41 beta=38.41 gamma=38.41
Closest atoms and distances in Å follow each position.
Element x y z (fractional)
1 Li 0.0000 0.0000 0.0000  6 Tl 3.01, 6 Li 3.31
2 Tl 0.5000 0.5000 0.5000  6 Li 3.01, 6 Tl 3.31

Summary:
Calculated formation energy in kJ per mole of atoms: -16

# 2
A plane-wave DFT calculation with GGA-PBEsol was carried out for Ta2PbW after structural relaxation.

Unit cell a=4.1893 b=4.1893 c=4.1072 alpha=90.00 beta=90.00 gamma=90.00
Closest atoms and distances in Å follow each position.
Element x y z (fractional)
1 Ta 0.0000 0.5000 0.0000  4 W 2.93, 4 Pb 2.93, 4 Ta 2.96
2 Ta 0.5000 0.0000 0.0000  4 W 2.93, 4 Pb 2.93, 4 Ta 2.96
3 Pb 0.0000 0.0000 0.5000  8 Ta 2.93, 4 W 2.96
4 W 0.5000 0.5000 0.5000  8 Ta 2.93, 4 Pb 2.96

Summary:
Calculated formation energy in kJ per mole of atoms: 42

# 3
A plane-wave DFT calculation with GGA-PBEsol was carried out for Hg2OsW after structural relaxation.

Unit cell a=4.8698 b=4.8698 c=5.1473 alpha=98.16 beta=98.16 gamma=34.59
Closest atoms and distances in Å follow each position.
Element x y z (fractional)
1 Hg 0.0000 0.0000 0.0000  5 Hg 2.71-2.91, 2 Os 2.83, 3 W 2.92-2.98
2 Hg 0.2421 0.2421 0.7641  5 Hg 2.71-2.91, 2 W 2.85, 3 Os 2.95-2.97
3 Os 0.4904 0.4904 0.4689  3 W 2.67-2.74, 5 Hg 2.83-2.97, 2 Os 2.90
4 W 0.7543 0.7543 0.2921  3 Os 2.67-2.74, 5 Hg 2.85-2.98, 2 W 2.90

Summary:
Relative energy among the computed polymorphs in meV/atom: 195
Calculated formation energy in kJ per mole of atoms: 71

# 4
A plane-wave DFT calculation with GGA-PBEsol was carried out for KAlCo3Si3H2O12 after structural relaxation.

Unit cell a=5.2228 b=5.2301 c=10.5519 alpha=80.83 beta=85.41 gamma=60.07
Closest atoms and distances in Å follow each position.
Element x y z (fractional)
1 K 0.0000 0.0000 0.0000  3 O 2.69-2.70
2 Al 0.3368 0.2641 0.2181  4 O 1.76
3 Co 0.3078 0.8673 0.4835  6 O 1.99-2.15
4 Co 0.6882 0.1767 0.4815  6 O 2.01-2.18
5 Co 0.9982 0.4685 0.4841  6 O 2.00-2.17
6 Si 0.3331 0.4206 0.7462  4 O 1.60-1.65
7 Si 0.6633 0.6026 0.2137  4 O 1.63-1.66
8 Si 0.6664 0.7528 0.7463  4 O 1.61-1.65
9 H 0.0032 0.8722 0.2963  1 O 0.98
10 H 0.9864 0.1132 0.6987  1 O 0.98
11 O 0.9998 0.5325 0.8084  2 Si 1.65
12 O 0.9997 0.8452 0.3903  1 H 0.98
13 O 0.3330 0.4719 0.5922  1 Si 1.60
14 O 0.3528 0.2024 0.3865  1 Al 1.76
15 O 0.4115 0.9399 0.1576  1 Si 1.63, 1 Al 1.76
16 O 0.4665 0.5995 0.8091  2 Si 1.65
17 O 0.5336 0.0670 0.8074  2 Si 1.65
18 O 0.6016 0.3652 0.1573  1 Si 1.63, 1 Al 1.76
19 O 0.6493 0.5570 0.3732  1 Si 1.66
20 O 0.6677 0.7989 0.5923  1 Si 1.61
21 O 0.9871 0.5542 0.1641  1 Si 1.63, 1 Al 1.76
22 O 0.9953 0.1293 0.6052  1 H 0.98

Summary:
Uncorrected energy in eV per atom: -7.186

# 5
A plane-wave DFT calculation with GGA-PBEsol was carried out for Li4Mn3F10 after structural relaxation.

Unit cell a=5.0614 b=5.3822 c=7.5894 alpha=70.46 beta=74.56 gamma=78.42
Closest atoms and distances in Å follow each position.
Element x y z (fractional)
1 Li 0.0026 0.1442 0.2022  5 F 1.89-2.07
2 Li 0.4836 0.2037 0.3471  5 F 1.88-2.01
3 Li 0.5164 0.7963 0.6529  5 F 1.88-2.01
4 Li 0.9974 0.8558 0.7978  5 F 1.89-2.07
5 Mn 0.0000 0.5000 0.5000  6 F 2.06-2.17
6 Mn 0.3223 0.2583 0.8553  7 F 2.07-2.30
7 Mn 0.6777 0.7417 0.1447  7 F 2.07-2.30
8 F 0.0000 0.0000 0.0000  2 Li 1.94
9 F 0.0000 0.5000 0.0000  2 Li 2.01, 2 Mn 2.17
10 F 0.2063 0.6461 0.6396  2 Li 1.89-1.94, 1 Mn 2.08
11 F 0.2530 0.1335 0.6110  3 Li 1.99-2.07, 1 Mn 2.17
12 F 0.3225 0.5587 0.2647  1 Li 1.88, 2 Mn 2.06-2.07
13 F 0.3938 0.0985 0.1541  2 Li 1.90-1.92
14 F 0.6062 0.9015 0.8459  2 Li 1.90-1.92
15 F 0.6775 0.4413 0.7353  1 Li 1.88, 2 Mn 2.06-2.07
16 F 0.7470 0.8665 0.3890  3 Li 1.99-2.07, 1 Mn 2.17
17 F 0.7937 0.3539 0.3604  2 Li 1.89-1.94, 1 Mn 2.08

Summary:
Relative energy among the computed polymorphs in meV/atom: 0

# 6
A plane-wave DFT calculation with GGA-PBEsol was carried out for HfNiN2O after structural relaxation.

Unit cell a=3.6283 b=3.6283 c=3.5846 alpha=90.00 beta=90.00 gamma=90.00
Closest atoms and distances in Å follow each position.
Element x y z (fractional)
1 Hf 0.0000 0.0000 0.0000  8 N 2.55, 4 O 2.57
2 Ni 0.5000 0.5000 0.5000  2 O 1.79, 4 N 1.81
3 N 0.0000 0.5000 0.5000  2 Ni 1.81
4 N 0.5000 0.0000 0.5000  2 Ni 1.81
5 O 0.5000 0.5000 0.0000  2 Ni 1.79

Summary:
Uncorrected energy in eV per atom: -8.196

# 7
A plane-wave DFT calculation with GGA-PBEsol was carried out for GdSnPd2 after structural relaxation.

Unit cell a=4.7527 b=4.7527 c=4.7527 alpha=60.00 beta=60.00 gamma=60.00
Closest atoms and distances in Å follow each position.
Element x y z (fractional)
1 Gd 0.0000 0.0000 0.0000  8 Pd 2.91
2 Sn 0.5000 0.5000 0.5000  8 Pd 2.91
3 Pd 0.2500 0.2500 0.2500  4 Gd 2.91, 4 Sn 2.91
4 Pd 0.7500 0.7500 0.7500  4 Gd 2.91, 4 Sn 2.91

Summary:
Calculated formation energy in kJ per mole of atoms: -82

# 8
A plane-wave DFT calculation with GGA-PBEsol was carried out for Sr2LiPd2 after structural relaxation.

Unit cell a=7.7168 b=7.7168 c=4.2457 alpha=90.00 beta=90.00 gamma=90.00
Closest atoms and distances in Å follow each position.
Element x y z (fractional)
1 Sr 0.1710 0.3290 0.0000  6 Pd 3.08-3.14
2 Sr 0.3290 0.8290 0.0000  6 Pd 3.08-3.14
3 Sr 0.6710 0.1710 0.0000  6 Pd 3.08-3.14
4 Sr 0.8290 0.6710 0.0000  6 Pd 3.08-3.14
5 Li 0.0000 0.0000 0.5000  4 Pd 3.05
6 Li 0.5000 0.5000 0.5000  4 Pd 3.05
7 Pd 0.1247 0.6247 0.5000  1 Pd 2.72
8 Pd 0.3753 0.1247 0.5000  1 Pd 2.72
9 Pd 0.6247 0.8753 0.5000  1 Pd 2.72
10 Pd 0.8753 0.3753 0.5000  1 Pd 2.72

Summary:
Relative energy among the computed polymorphs in meV/atom: 0
Calculated formation energy in kJ per mole of atoms: -38

# 9
A plane-wave DFT calculation with GGA-PBEsol was carried out for BaHg2Pt after structural relaxation.

Unit cell a=4.0706 b=6.2297 c=6.2297 alpha=42.96 beta=90.00 gamma=90.00
Closest atoms and distances in Å follow each position.
Element x y z (fractional)
1 Ba 0.0000 0.0000 0.0000  4 Pt 3.12, 3 Hg 3.26-3.41
2 Hg 0.0000 0.7187 0.7187  2 Pt 2.80
3 Hg 0.5000 0.3104 0.3104  1 Pt 2.81
4 Pt 0.5000 0.5528 0.5528  3 Hg 2.80-2.81, 4 Ba 3.12

Summary:
Calculated formation energy in kJ per mole of atoms: -34

# 10
A plane-wave DFT calculation with GGA-PBEsol was carried out for Ca3Ge4Au7 after structural relaxation.

Unit cell a=9.6478 b=13.0061 c=4.3549 alpha=90.00 beta=90.00 gamma=90.00
Closest atoms and distances in Å follow each position.
Element x y z (fractional)
1 Ca 0.0000 0.0000 0.0000  2 Ge 3.08, 6 Au 3.10-3.21
2 Ca 0.0008 0.3118 0.0000  9 Au 3.07-3.38, 5 Ge 3.07-3.43
3 Ca 0.4992 0.8118 0.5000  9 Au 3.07-3.38, 5 Ge 3.07-3.43
4 Ca 0.5000 0.5000 0.5000  2 Ge 3.08, 6 Au 3.10-3.21
5 Ca 0.5008 0.1882 0.5000  9 Au 3.07-3.38, 5 Ge 3.07-3.43
6 Ca 0.9992 0.6882 0.0000  9 Au 3.07-3.38, 5 Ge 3.07-3.43
7 Ge 0.1441 0.8155 0.5000  3 Au 2.52, 1 Ge 2.63
8 Ge 0.2271 0.6225 0.5000  1 Ge 2.63, 5 Au 2.70-2.73
9 Ge 0.2729 0.1225 0.0000  1 Ge 2.63, 5 Au 2.70-2.73
10 Ge 0.3559 0.3155 0.0000  3 Au 2.52, 1 Ge 2.63
11 Ge 0.6441 0.6845 0.0000  3 Au 2.52, 1 Ge 2.63
12 Ge 0.7271 0.8775 0.0000  1 Ge 2.63, 5 Au 2.70-2.73
13 Ge 0.7729 0.3775 0.5000  1 Ge 2.63, 5 Au 2.70-2.73
14 Ge 0.8559 0.1845 0.5000  3 Au 2.52, 1 Ge 2.63
15 Au 0.0000 0.5000 0.5000  2 Ge 2.71, 6 Au 2.89-2.93
16 Au 0.1146 0.1597 0.5000  3 Ge 2.52-2.70, 1 Au 2.79
17 Au 0.1968 0.4973 0.0000  3 Ge 2.73-2.82, 5 Au 2.79-2.89
18 Au 0.2391 0.3608 0.5000  2 Ge 2.52
19 Au 0.2609 0.8608 0.0000  2 Ge 2.52
20 Au 0.3032 0.9973 0.5000  3 Ge 2.73-2.82, 5 Au 2.79-2.89
21 Au 0.3854 0.6597 0.0000  3 Ge 2.52-2.70, 1 Au 2.79
22 Au 0.5000 0.0000 0.0000  2 Ge 2.71, 6 Au 2.89-2.93
23 Au 0.6146 0.3403 0.0000  3 Ge 2.52-2.70, 1 Au 2.79
24 Au 0.6968 0.0027 0.5000  3 Ge 2.73-2.82, 5 Au 2.79-2.89
25 Au 0.7391 0.1392 0.0000  2 Ge 2.52
26 Au 0.7609 0.6392 0.5000  2 Ge 2.52
27 Au 0.8032 0.5027 0.0000  3 Ge 2.73-2.82, 5 Au 2.79-2.89
28 Au 0.8854 0.8403 0.5000  3 Ge 2.52-2.70, 1 Au 2.79

Summary:
Calculated formation energy in kJ per mole of atoms: -51

# 11
A plane-wave DFT calculation with GGA-PBEsol was carried out for BeReH2N after structural relaxation.

Unit cell a=2.8523 b=2.8523 c=5.2490 alpha=90.00 beta=90.00 gamma=90.00
Closest atoms and distances in Å follow each position.
Element x y z (fractional)
1 Be 0.0000 0.0000 0.0000  4 H 1.43
2 Re 0.0000 0.0000 0.5000  4 N 2.02
3 H 0.0000 0.5000 0.0000  2 Be 1.43
4 H 0.5000 0.0000 0.0000  2 Be 1.43
5 N 0.5000 0.5000 0.5000  4 Re 2.02

Summary:
Uncorrected energy in eV per atom: -6.033

# 12
A plane-wave DFT calculation with GGA-PBEsol was carried out for NaAs3Ir after structural relaxation.

Unit cell a=4.8776 b=4.8776 c=4.8776 alpha=90.00 beta=90.00 gamma=90.00
Closest atoms and distances in Å follow each position.
Element x y z (fractional)
1 Na 0.0000 0.0000 0.0000  12 As 3.45
2 As 0.0000 0.5000 0.5000  2 Ir 2.44
3 As 0.5000 0.0000 0.5000  2 Ir 2.44
4 As 0.5000 0.5000 0.0000  2 Ir 2.44
5 Ir 0.5000 0.5000 0.5000  6 As 2.44

Summary:
Calculated formation energy in kJ per mole of atoms: 38

The Fermi-level density of states results, record by record, are as follows: 1.1 1.4 3.2 5.9 0.0 2.6 2.1 2.5 1.1 5.5 2.2 4.0 states/eV/f.u..